Computed, not measured: a relaxed CsAcAsO5 crystal at the PBE-GGA level of DFT.

Cell: 6.671 6.671 8.679 Å, 103.93 103.93 106.98°
Atoms (fractional coordinates):
Cs: 0.165 0.835 0.750
Cs: 0.835 0.165 0.250
Ac: 0.500 0.500 0.000
Ac: 0.500 0.500 0.500
As: 0.188 0.812 0.250
As: 0.812 0.188 0.750
O: 0.083 0.268 0.879
O: 0.205 0.641 0.371
O: 0.268 0.083 0.379
O: 0.359 0.795 0.129
O: 0.444 0.556 0.750
O: 0.556 0.444 0.250
O: 0.641 0.205 0.871
O: 0.732 0.917 0.621
O: 0.795 0.359 0.629
O: 0.917 0.732 0.121

Output
space-group type = C2/c (15)
M_tot = 1.147 Bohr magnetons per cell
VASP energy = -0.45826 Ry/atom
ΔE_f (raw) = -1493.3 kJ/mol of formula units
crystal system = monoclinic